This record from Alexandria via LeMat-Bulk describes NdGeAu after structural relaxation. The functional is PBE.

Results
Its energy of formation is -0.802 eV/atom. The mass density comes out at 10.0 g cm⁻³. For the calculated volume, the calculation gives 69.0 Å³ per cell. The electronic total energy comes out at -5.0229 eV per atom.

a b c (Å): 4.4826 4.4826 3.9679
angles (deg): 90.00 90.00 120.00
Space group P3m1 (No. 156)
Unique sites:
Nd (0.0000, 0.0000, 0.0000) [1 per cell]
Ge (0.6667, 0.3333, 0.4716) [1 per cell]
Au (0.3333, 0.6667, 0.5172) [1 per cell]

This record from Alexandria via LeMat-Bulk describes K2Np2TlO7 after structural relaxation. The functional is PBE.

Results
The mass density comes out at 7.0 g cm⁻³. The value obtained for the uncorrected formation energy is -55.1 kcal/mol of atoms. For the calculated volume, the calculation gives 413.1 Å³ per cell. The electronic total energy comes out at -7.8207 eV per atom.

a b c (Å): 4.324 4.324 22.091
angles (deg): 90.00 90.00 90.00
Space group I4/mmm (No. 139)
Unique sites:
K (0.000, 0.000, 0.190) [4 per cell]
Np (0.000, 0.000, 0.402) [4 per cell]
Tl (0.000, 0.000, 0.000) [2 per cell]
O (0.000, 0.000, 0.314) [4 per cell]
O (0.000, 0.000, 0.500) [2 per cell]
O (0.000, 0.500, 0.098) [8 per cell]

This record from Alexandria via LeMat-Bulk describes NiMoIr2 after structural relaxation. The functional is PBE.

Results
As for the distance to the lowest polymorph of the same formula: 0 meV/atom. Its energy of formation is -0.264 eV/atom. The mass density comes out at 16.1 g cm⁻³. For the calculated volume, the calculation gives 111.5 Å³ per cell. The electronic total energy comes out at -8.8481 eV per atom.

a b c (Å): 4.315 5.472 4.723
angles (deg): 90.00 90.00 90.00
Space group Pmmn (No. 59, origin choice 2)
Unique sites:
Ni (0.250, 0.250, 0.164) [2 per cell]
Mo (0.250, 0.750, 0.161) [2 per cell]
Ir (0.250, 0.504, 0.677) [4 per cell]

This record from Alexandria via LeMat-Bulk describes NiBi2Au after structural relaxation. The functional is PBE.

Results
Its energy of formation is 0.058 eV/atom. The mass density comes out at 12.4 g cm⁻³. For the calculated volume, the calculation gives 361.3 Å³ per cell. The electronic total energy comes out at -4.1473 eV per atom.

a b c (Å): 6.754 3.972 13.471
angles (deg): 90.00 90.00 90.00
Space group Amm2 (No. 38)
Unique sites:
Ni (0.190, 0.000, 0.000) [4 per cell]
Bi (0.000, 0.000, 0.374) [2 per cell]
Bi (0.000, 0.000, 0.615) [2 per cell]
Bi (0.500, 0.000, 0.147) [2 per cell]
Bi (0.500, 0.000, 0.453) [2 per cell]
Au (0.292, 0.000, 0.793) [4 per cell]

This record from Alexandria via LeMat-Bulk describes CePr2GaN after structural relaxation. The functional is PBE.

Results
The mass density comes out at 6.9 g cm⁻³. The value obtained for the uncorrected formation energy is -17.8 kcal/mol of atoms. For the calculated volume, the calculation gives 122.0 Å³ per cell. The electronic total energy comes out at -6.1415 eV per atom.

a b c (Å): 5.057 5.057 4.770
angles (deg): 90.00 90.00 90.00
Space group P4/mmm (No. 123)
Unique sites:
Ce (0.000, 0.000, 0.000) [1 per cell]
Pr (0.000, 0.500, 0.500) [2 per cell]
Ga (0.500, 0.500, 0.000) [1 per cell]
N (0.000, 0.000, 0.500) [1 per cell]

This record from Alexandria via LeMat-Bulk describes SrCa2Cl after structural relaxation. The functional is PBE.

Results
As for the distance to the lowest polymorph of the same formula: 27 meV/atom. The mass density comes out at 2.3 g cm⁻³. The value obtained for the uncorrected formation energy is -17.6 kcal/mol of atoms. For the calculated volume, the calculation gives 439.5 Å³ per cell. The electronic total energy comes out at -2.6474 eV per atom.

a b c (Å): 3.9605 3.9605 32.3518
angles (deg): 90.00 90.00 120.00
Space group R-3m (No. 166, hexagonal axes)
Unique sites:
Sr (0.0000, 0.0000, 0.0000) [3 per cell]
Ca (0.0000, 0.0000, 0.2311) [6 per cell]
Cl (0.0000, 0.0000, 0.5000) [3 per cell]